CaMnSi2: optimized geometry, PBE-GGA.

Properties
uncorrected formation energy = -0.13 eV/atom
electronic total energy = -5.63 eV/atom

a b c (Å): 3.647 3.511 6.146
angles (deg): 73.52 90.00 90.00
Last column: magnetic moment on the atom in μB.
Fractional coordinates of all 4 atoms:
1 Ca 0.000 0.464 0.449  -0.02
2 Si 0.000 0.216 0.942  -0.04
3 Si 0.500 0.087 0.201  -0.03
4 Mn 0.500 0.733 0.908  2.65